1.
This record from OQMD via LeMat-Bulk describes a geometry-optimized PrNd2Cu2B2N3 structure. The functional is GGA-PBE.

Cell: 10.743 10.743 10.743 Å, 160.48 160.48 27.74°
Fractional coordinates of all 10 atoms:
Pr 0.000 0.000 0.000
Nd 0.376 0.376 0.000
Nd 0.624 0.624 0.000
Cu 0.250 0.750 0.500
Cu 0.750 0.250 0.500
B 0.187 0.187 0.000
B 0.813 0.813 0.000
N 0.119 0.119 0.000
N 0.500 0.500 0.000
N 0.881 0.881 0.000

2.
This record from OQMD via LeMat-Bulk describes a geometry-optimized TbNd2Cu2B2N3 structure. The functional is GGA-PBE.

Cell: 10.600 10.600 10.600 Å, 160.45 160.45 27.78°
Fractional coordinates of all 10 atoms:
Tb 0.000 0.000 0.000
Nd 0.378 0.378 0.000
Nd 0.622 0.622 0.000
Cu 0.250 0.750 0.500
Cu 0.750 0.250 0.500
B 0.185 0.185 0.000
B 0.815 0.815 0.000
N 0.115 0.115 0.000
N 0.500 0.500 0.000
N 0.885 0.885 0.000

3.
This record from OQMD via LeMat-Bulk describes a geometry-optimized TbSmCu2B2N2 structure. The functional is GGA-PBE.

Cell: 3.556 3.556 7.738 Å, 90.00 90.00 90.00°
Fractional coordinates of all 8 atoms:
Tb 0.000 0.000 0.000
Sm 0.500 0.500 0.333
Cu 0.000 0.500 0.666
Cu 0.500 0.000 0.666
B 0.000 0.000 0.493
B 0.500 0.500 0.837
N 0.000 0.000 0.305
N 0.500 0.500 0.023

The following raw total energy values (in eV per atom) correspond, in order, to the records above: -6.901, -6.951, -6.702.